Entry 1:
VASP calculation (PBE-GGA) on a relaxed structure of YSc2Os2.

- Raw total energy: -8.5023 eV/atom
- D(E_F): 0.7050 states/eV/atom
- ΔH_f (0 K): -0.185 eV/atom
- Crystal system: tetragonal
- Magnetic moment: 0.00 Bohr magnetons per cell
- Distance to the lowest polymorph of the same formula: 25 meV/atom

a b c (Å): 6.606 6.606 6.606
angles (deg): 142.57 142.57 53.98
Positions (direct):
Y 0.000 0.000 0.000
Sc 0.250 0.750 0.500
Sc 0.750 0.250 0.500
Os 0.395 0.395 0.000
Os 0.605 0.605 0.000

***

Entry 2:
VASP calculation (PBE-GGA) on a relaxed structure of YSc2Os.

- Raw total energy: -7.5526 eV/atom
- D(E_F): 1.0614 states/eV/atom
- ΔH_f (0 K): 0.037 eV/atom
- Crystal system: trigonal
- Magnetic moment: 0.00 Bohr magnetons per cell
- Distance to the lowest polymorph of the same formula: 317 meV/atom

a b c (Å): 9.907 9.907 9.907
angles (deg): 19.20 19.20 19.20
Positions (direct):
Y 0.000 0.000 0.000
Sc 0.231 0.231 0.231
Sc 0.769 0.769 0.769
Os 0.500 0.500 0.500

***

Entry 3:
VASP calculation (PBE-GGA) on a relaxed structure of YScOs.

- Raw total energy: -8.0948 eV/atom
- D(E_F): 0.8163 states/eV/atom
- ΔH_f (0 K): -0.086 eV/atom
- Crystal system: trigonal
- Magnetic moment: 0.00 Bohr magnetons per cell
- Distance to the lowest polymorph of the same formula: 249 meV/atom

a b c (Å): 4.608 4.608 3.402
angles (deg): 90.00 90.00 120.00
Positions (direct):
Y 0.000 0.000 0.000
Sc 0.667 0.333 0.558
Os 0.333 0.667 0.354

***

Entry 4:
VASP calculation (PBE-GGA) on a relaxed structure of YScOs2.

- Raw total energy: -8.6736 eV/atom
- D(E_F): 1.3840 states/eV/atom
- ΔH_f (0 K): 0.140 eV/atom
- Crystal system: tetragonal
- Magnetic moment: 0.00 Bohr magnetons per cell

a b c (Å): 5.511 5.511 5.511
angles (deg): 137.89 137.89 61.07
Positions (direct):
Y 0.000 0.000 0.000
Sc 0.750 0.250 0.500
Os 0.250 0.750 0.500
Os 0.500 0.500 0.000